DFT (PBE-GGA) results for Tb3Tm2Th6 after structural relaxation.

Results
DOS at the Fermi energy (states/eV per cell): 16.6
Raw total energy (eV per atom): -6.090

Structure (extended XYZ):
```
11
Lattice="1.7850 1.0306 31.6187 -1.7850 1.0306 31.6187 0.0000 -2.0611 31.6187" Properties=species:S:1:pos:R:3 pbc="T T T"
Tb 0.0000 0.0000 0.0000
Tb 0.0000 0.0000 25.8574
Tb 0.0000 0.0000 68.9986
Tm 0.0000 0.0000 43.1026
Tm 0.0000 0.0000 51.7534
Th 0.0000 0.0000 8.6548
Th 0.0000 0.0000 17.2244
Th 0.0000 0.0000 34.5038
Th 0.0000 0.0000 60.3522
Th 0.0000 0.0000 77.6316
Th 0.0000 0.0000 86.2011
```